Record 1
Ba3TbPm3S8 | PBE | relaxed

Values from the calculation:
As for the formation energy from raw total energies: -2063 meV/atom.

Cell: 14.3435 8.2738 8.7159 Å, 90.00 123.29 90.00°
Last column: nearest neighbours and their distance in Å.
Space group C2/m (No. 12)
Inequivalent atoms, fractional coordinates:
Ba  0.0000  0.0000  0.0000 [2 per cell]  6 S 3.15-3.17
Ba  0.2500  0.2500  0.0000 [4 per cell]  6 S 3.15-3.17
Tb  0.0000  0.0000  0.5000 [2 per cell]  6 S 2.80
Pm  0.0000  0.5000  0.5000 [2 per cell]  6 S 2.86-2.87
Pm  0.2500  0.2500  0.5000 [4 per cell]  6 S 2.86-2.87
S  0.0115  0.2447  0.2897 [8 per cell]  1 Tb 2.80, 2 Pm 2.86
S  0.2333  0.0000  0.7104 [4 per cell]  1 Tb 2.80, 2 Pm 2.86
S  0.2395  0.5000  0.7186 [4 per cell]  3 Pm 2.87, 3 Ba 3.15

---

Record 2
FeC5 | PBE | relaxed

Values from the calculation:
The offset from the most stable computed form is 8.82 eV/f.u. The formation energy comes out at 2.279 eV per atom.

Cell: 3.1300 3.1300 5.1018 Å, 90.00 90.00 90.00°
Last column: nearest neighbours and their distance in Å.
Space group P4/mmm (No. 123)
Inequivalent atoms, fractional coordinates:
Fe  0.0000  0.0000  0.0000 [1 per cell]  2 C 1.90
C  0.0000  0.0000  0.3728 [2 per cell]  1 C 1.30
C  0.5000  0.5000  0.1296 [2 per cell]  1 C 1.32
C  0.5000  0.5000  0.5000 [1 per cell]  2 C 1.89

---

Record 3
BeTlAg | PBE | relaxed

Values from the calculation:
The offset from the most stable computed form is 0.26 eV/f.u. The formation energy comes out at 0.488 eV per atom.

Cell: 4.2329 4.2329 3.7350 Å, 90.00 90.00 120.00°
Last column: nearest neighbours and their distance in Å.
Space group P-6m2 (No. 187)
Inequivalent atoms, fractional coordinates:
Be  0.0000  0.0000  0.0000 [1 per cell]  3 Ag 2.44
Tl  0.6667  0.3333  0.5000 [1 per cell]  6 Be 3.08, 6 Ag 3.08
Ag  0.3333  0.6667  0.0000 [1 per cell]  3 Be 2.44

---

Record 4
Nb2RePIr | PBE | relaxed

Values from the calculation:
The formation energy comes out at 0.472 eV per atom.

Cell: 4.5428 4.5428 4.2837 Å, 90.00 90.00 90.00°
Last column: nearest neighbours and their distance in Å.
Space group P4/mmm (No. 123)
Inequivalent atoms, fractional coordinates:
Nb  0.0000  0.5000  0.0000 [2 per cell]  2 P 2.27
Re  0.0000  0.0000  0.5000 [1 per cell]  8 Nb 3.12, 4 Ir 3.21
P  0.5000  0.5000  0.0000 [1 per cell]  2 Ir 2.14, 4 Nb 2.27
Ir  0.5000  0.5000  0.5000 [1 per cell]  2 P 2.14

---

Record 5
PaB2Ir2Ru | PBE | relaxed

Values from the calculation:
The formation energy comes out at -0.382 eV per atom.

Cell: 3.9154 3.9154 11.7510 Å, 90.00 90.00 90.00°
Last column: nearest neighbours and their distance in Å.
Space group I4/mmm (No. 139)
Inequivalent atoms, fractional coordinates:
Pa  0.0000  0.0000  0.0000 [2 per cell]  4 Ru 2.77
B  0.0000  0.0000  0.3194 [4 per cell]  4 Ir 2.12, 1 Ru 2.12
Ir  0.0000  0.5000  0.2500 [4 per cell]  4 B 2.12
Ru  0.0000  0.0000  0.5000 [2 per cell]  2 B 2.12

---

Record 6
Cd2TeRu | PBE | relaxed

Values from the calculation:
The offset from the most stable computed form is 1.32 eV/f.u. As for the formation energy from raw total energies: 376 meV/atom.

Cell: 3.3034 5.3515 4.7030 Å, 90.00 90.70 90.00°
Last column: nearest neighbours and their distance in Å.
Space group P2/m (No. 10)
Inequivalent atoms, fractional coordinates:
Cd  0.2443  0.0000  0.2394 [2 per cell]  4 Cd 2.75-2.96, 2 Ru 3.01, 2 Te 3.06
Te  0.5000  0.5000  0.5000 [1 per cell]  4 Ru 2.86-2.89, 4 Cd 3.06
Ru  0.0000  0.5000  0.0000 [1 per cell]  4 Te 2.86-2.89, 4 Cd 3.01

---

Record 7
Tb2YEr5 | PBE | relaxed

Values from the calculation:
The offset from the most stable computed form is 0.99 eV/f.u. The formation energy comes out at 0.143 eV per atom.

Cell: 16.2043 5.6002 11.3790 Å, 90.00 90.03 90.00°
Last column: nearest neighbours and their distance in Å.
Space group C2/m (No. 12)
Inequivalent atoms, fractional coordinates:
Tb  0.2117  0.0000  0.0807 [4 per cell]  5 Er 3.45-3.71, 3 Y 3.54-3.77, 3 Tb 3.57-3.85
Tb  0.2118  0.0000  0.4191 [4 per cell]  5 Er 3.45-3.72, 3 Y 3.54-3.78, 3 Tb 3.57-3.85
Y  0.2272  0.0000  0.7502 [4 per cell]  6 Er 3.36-3.60, 4 Tb 3.54
Er  0.0433  0.0000  0.8873 [4 per cell]  2 Er 2.92-3.13
Er  0.0441  0.0000  0.6120 [4 per cell]  2 Er 2.92-3.13
Er  0.0875  0.5000  0.0763 [4 per cell]  6 Er 3.32-3.68, 3 Tb 3.45-3.71, 1 Y 3.59
Er  0.0873  0.5000  0.4230 [4 per cell]  6 Er 3.33-3.67, 3 Tb 3.45-3.72, 1 Y 3.60
Er  0.1043  0.5000  0.7499 [4 per cell]  8 Er 3.35-3.73, 2 Y 3.44, 2 Tb 3.55

---

Record 8
HfZn2OsI | PBE | relaxed

Values from the calculation:
As for the formation energy from raw total energies: 1095 meV/atom.

Cell: 4.7227 4.7227 5.3002 Å, 90.00 90.00 90.00°
Last column: nearest neighbours and their distance in Å.
Space group P4/mmm (No. 123)
Inequivalent atoms, fractional coordinates:
Hf  0.0000  0.0000  0.0000 [1 per cell]  4 I 3.34, 8 Zn 3.55
Zn  0.0000  0.5000  0.5000 [2 per cell]  2 Os 2.36
Os  0.5000  0.5000  0.5000 [1 per cell]  4 Zn 2.36
I  0.5000  0.5000  0.0000 [1 per cell]  2 Os 2.65

---

Record 9
Ho3PBr7 | PBE | relaxed

Values from the calculation:
As for the formation energy from raw total energies: -1595 meV/atom.

Cell: 8.3469 8.3469 6.8535 Å, 90.00 90.00 120.00°
Last column: nearest neighbours and their distance in Å.
Space group P3m1 (No. 156)
Inequivalent atoms, fractional coordinates:
Ho  0.0078  0.5039  0.0000 [3 per cell]  1 P 2.71, 5 Br 2.81-2.98
P  0.3333  0.6667  0.8043 [1 per cell]  3 Ho 2.71
Br  0.1759  0.3519  0.2365 [3 per cell]  2 Ho 2.83
Br  0.3487  0.1744  0.7849 [3 per cell]  2 Ho 2.81
Br  0.6667  0.3333  0.2431 [1 per cell]  3 Ho 2.98

---

Record 10
BaNiPCl2 | PBE | relaxed

Values from the calculation:
The offset from the most stable computed form is 5.58 eV/f.u. As for the formation energy from raw total energies: 219 meV/atom.

Cell: 5.8987 5.8987 6.5891 Å, 90.00 90.00 90.00°
Last column: nearest neighbours and their distance in Å.
Space group P4/mmm (No. 123)
Inequivalent atoms, fractional coordinates:
Ba  0.0000  0.0000  0.0000 [1 per cell]  4 Cl 2.95, 2 P 3.29
Ni  0.5000  0.5000  0.5000 [1 per cell]  4 P 4.17, 8 Cl 4.42
P  0.0000  0.0000  0.5000 [1 per cell]  2 Ba 3.29
Cl  0.0000  0.5000  0.0000 [2 per cell]  2 Ba 2.95

---

Record 11
PrGdTlNi | PBE | relaxed

Values from the calculation:
The formation energy comes out at -0.190 eV per atom.

Cell: 7.4295 7.4295 7.4295 Å, 90.00 90.00 90.00°
Last column: nearest neighbours and their distance in Å.
Space group F-43m (No. 216)
Inequivalent atoms, fractional coordinates:
Pr  0.0000  0.0000  0.0000 [4 per cell]  4 Ni 3.22, 4 Tl 3.22
Gd  0.0000  0.0000  0.5000 [4 per cell]  4 Tl 3.22, 4 Ni 3.22
Tl  0.2500  0.2500  0.7500 [4 per cell]  4 Gd 3.22, 4 Pr 3.22
Ni  0.2500  0.2500  0.2500 [4 per cell]  4 Gd 3.22, 4 Pr 3.22

---

Record 12
TbErTaN3 | PBE | relaxed

Values from the calculation:
As for the formation energy from raw total energies: -1150 meV/atom.

Cell: 7.1314 3.3839 7.9296 Å, 90.00 90.78 90.00°
Last column: nearest neighbours and their distance in Å.
Space group P2_1/m (No. 11)
Inequivalent atoms, fractional coordinates:
Tb  0.1459  0.2500  0.1570 [2 per cell]  5 N 2.40-2.60
Er  0.3918  0.7500  0.8491 [2 per cell]  3 N 2.18-2.35
Ta  0.1289  0.2500  0.5787 [2 per cell]  4 N 2.02-2.21
N  0.1301  0.2500  0.8372 [2 per cell]  1 Ta 2.05
N  0.1798  0.7500  0.4476 [2 per cell]  3 Ta 2.02-2.21
N  0.3811  0.7500  0.1234 [2 per cell]  3 Er 2.18-2.35, 2 Tb 2.40

---

Record 13
Li3Pt | PBE | relaxed

Values from the calculation:
The offset from the most stable computed form is 0.18 eV/f.u. The formation energy comes out at -0.379 eV per atom.

Cell: 8.4682 8.4682 2.7607 Å, 90.00 90.00 120.00°
Last column: nearest neighbours and their distance in Å.
Space group R-3m (No. 166, hexagonal axes)
Inequivalent atoms, fractional coordinates:
Li  0.0000  0.5000  0.0000 [9 per cell]  2 Pt 2.61, 6 Li 2.61-2.76
Pt  0.0000  0.0000  0.0000 [3 per cell]  6 Li 2.61, 2 Pt 2.76

---

Record 14
MnAgBr2 | PBE | relaxed

Values from the calculation:
The offset from the most stable computed form is 1.15 eV/f.u. As for the formation energy from raw total energies: 51 meV/atom.

Cell: 3.4713 3.4713 7.1918 Å, 90.00 90.00 90.00°
Last column: nearest neighbours and their distance in Å.
Space group P4/mmm (No. 123)
Inequivalent atoms, fractional coordinates:
Mn  0.0000  0.0000  0.0000 [1 per cell]  8 Br 2.95
Ag  0.0000  0.0000  0.5000 [1 per cell]  8 Br 3.14, 4 Ag 3.47
Br  0.5000  0.5000  0.2279 [2 per cell]  4 Mn 2.95, 4 Ag 3.14, 1 Br 3.28

---

Record 15
AlSnIN2 | PBE | relaxed

Values from the calculation:
The offset from the most stable computed form is 1.84 eV/f.u. As for the formation energy from raw total energies: 1293 meV/atom.

Cell: 4.1477 4.1477 6.5372 Å, 90.00 90.00 90.00°
Last column: nearest neighbours and their distance in Å.
Space group P4/mmm (No. 123)
Inequivalent atoms, fractional coordinates:
Al  0.0000  0.0000  0.0000 [1 per cell]  4 I 2.93
Sn  0.5000  0.5000  0.5000 [1 per cell]  4 N 2.07
I  0.5000  0.5000  0.0000 [1 per cell]  4 Al 2.93, 2 Sn 3.27
N  0.0000  0.5000  0.5000 [2 per cell]  2 Sn 2.07

---

Record 16
NdGe2BRu2 | PBE | relaxed

Values from the calculation:
The formation energy comes out at -0.550 eV per atom.

Cell: 4.1835 4.1835 5.5828 Å, 90.00 90.00 90.00°
Last column: nearest neighbours and their distance in Å.
Space group P4/mmm (No. 123)
Inequivalent atoms, fractional coordinates:
Nd  0.0000  0.0000  0.0000 [1 per cell]  2 B 2.79
Ge  0.5000  0.5000  0.2242 [2 per cell]  1 Ge 2.50, 4 Ru 2.60
B  0.0000  0.0000  0.5000 [1 per cell]  4 Ru 2.09
Ru  0.0000  0.5000  0.5000 [2 per cell]  2 B 2.09

---

Record 17
Ce2DyGaC | PBE | relaxed

Values from the calculation:
The formation energy comes out at -0.323 eV per atom.

Cell: 4.8832 4.8832 4.9093 Å, 90.00 90.00 90.00°
Last column: nearest neighbours and their distance in Å.
Space group P4/mmm (No. 123)
Inequivalent atoms, fractional coordinates:
Ce  0.0000  0.5000  0.0000 [2 per cell]  2 C 2.44
Dy  0.0000  0.0000  0.5000 [1 per cell]  2 C 2.45
Ga  0.5000  0.5000  0.5000 [1 per cell]  4 Dy 3.45, 8 Ce 3.46
C  0.0000  0.0000  0.0000 [1 per cell]  4 Ce 2.44, 2 Dy 2.45

---

Record 18
TbErNi2 | PBE | relaxed

Values from the calculation:
The formation energy comes out at -0.401 eV per atom.

Cell: 4.7957 4.7957 3.3148 Å, 90.00 90.00 90.00°
Last column: nearest neighbours and their distance in Å.
Space group P4/mmm (No. 123)
Inequivalent atoms, fractional coordinates:
Tb  0.0000  0.0000  0.0000 [1 per cell]  8 Ni 2.91
Er  0.5000  0.5000  0.0000 [1 per cell]  8 Ni 2.91
Ni  0.0000  0.5000  0.5000 [2 per cell]  4 Tb 2.91, 4 Er 2.91

---

Record 19
CaPtS | PBE | relaxed

Values from the calculation:
As for the formation energy from raw total energies: -1159 meV/atom.

Cell: 3.7332 4.5167 16.0180 Å, 90.00 90.00 90.00°
Last column: nearest neighbours and their distance in Å.
Space group Imm2 (No. 44)
Inequivalent atoms, fractional coordinates:
Ca  0.0000  0.0000  0.0000 [2 per cell]  6 S 2.84-3.03
Ca  0.0000  0.0000  0.2628 [2 per cell]  2 S 2.80, 6 Pt 2.93-2.94
Pt  0.0000  0.0000  0.7634 [2 per cell]  2 S 2.49, 2 Pt 2.66
Pt  0.0000  0.5000  0.1449 [2 per cell]  2 S 2.42, 2 Pt 2.66
S  0.0000  0.0000  0.5490 [2 per cell]  2 Pt 2.42
S  0.0000  0.5000  0.3667 [2 per cell]  2 Pt 2.49

---

Record 20
Pm2Dy7Th2 | PBE | relaxed

Values from the calculation:
The formation energy comes out at 0.182 eV per atom.

Cell: 11.1299 11.5273 6.1297 Å, 90.00 113.45 90.00°
Last column: nearest neighbours and their distance in Å.
Space group C2/m (No. 12)
Inequivalent atoms, fractional coordinates:
Pm  0.0000  0.2150  0.0000 [4 per cell]  6 Dy 3.31-3.55
Dy  0.0000  0.0000  0.5000 [2 per cell]  6 Dy 3.28-3.50
Dy  0.1718  0.2389  0.6689 [8 per cell]  4 Dy 3.20-3.55, 2 Pm 3.31-3.44
Dy  0.2428  0.0000  0.0794 [4 per cell]  5 Dy 3.34-3.60, 3 Th 3.45-3.57, 2 Pm 3.55
Th  0.0901  0.5000  0.3113 [4 per cell]  7 Dy 3.45-3.79, 2 Th 3.54-3.62, 2 Pm 3.73

---

Record 21
Sn5H | PBE | relaxed

Values from the calculation:
As for the raw total energy: -3.6951 eV/atom.

Cell: 5.7138 15.2609 3.2474 Å, 90.00 90.00 90.00°
Last column: nearest neighbours and their distance in Å.
Space group Cmmm (No. 65)
Inequivalent atoms, fractional coordinates:
Sn  0.0000  0.0000  0.0000 [2 per cell]  10 Sn 3.25-3.37, 4 H 3.29
Sn  0.0000  0.1936  0.5000 [4 per cell]  12 Sn 3.25-3.54
Sn  0.0000  0.3928  0.0000 [4 per cell]  2 H 2.30
H  0.0000  0.5000  0.5000 [2 per cell]  4 Sn 2.30

---

Record 22
MgCoAg2 | PBE | relaxed

Values from the calculation:
The formation energy comes out at 0.129 eV per atom.

Cell: 4.0412 4.0412 3.9331 Å, 90.00 90.00 90.00°
Last column: nearest neighbours and their distance in Å.
Space group P4/mmm (No. 123)
Inequivalent atoms, fractional coordinates:
Mg  0.0000  0.0000  0.0000 [1 per cell]  8 Ag 2.82, 4 Co 2.86
Co  0.5000  0.5000  0.0000 [1 per cell]  8 Ag 2.82, 4 Mg 2.86
Ag  0.0000  0.5000  0.5000 [2 per cell]  4 Co 2.82, 4 Mg 2.82, 4 Ag 2.86

---

Record 23
Pa6ZnRu12 | PBE | relaxed

Values from the calculation:
The formation energy comes out at -0.208 eV per atom.

Cell: 10.0313 10.0313 12.4791 Å, 90.00 90.00 120.00°
Last column: nearest neighbours and their distance in Å.
Space group R-3m (No. 166, hexagonal axes)
Inequivalent atoms, fractional coordinates:
Pa  0.0668  0.5334  0.3212 [18 per cell]  2 Ru 2.44-2.48
Zn  0.0000  0.0000  0.0000 [3 per cell]  6 Ru 2.53
Ru  0.0285  0.5142  0.1244 [18 per cell]  1 Pa 2.48
Ru  0.0903  0.1806  0.8405 [18 per cell]  1 Pa 2.44, 1 Zn 2.53, 3 Ru 2.66-2.72

---

Record 24
Li2CeCu2S4 | PBE | relaxed

Values from the calculation:
As for the formation energy from raw total energies: -1101 meV/atom.

Cell: 13.8383 3.8022 7.5620 Å, 90.00 120.67 90.00°
Last column: nearest neighbours and their distance in Å.
Space group C2/m (No. 12)
Inequivalent atoms, fractional coordinates:
Li  0.1403  0.0000  0.2152 [4 per cell]  4 S 2.57-2.67
Ce  0.0000  0.0000  0.5000 [2 per cell]  6 S 2.73-2.75
Cu  0.1738  0.5000  0.8809 [4 per cell]  4 S 2.30-2.41
S  0.0172  0.5000  0.2549 [4 per cell]  1 Cu 2.30
S  0.2278  0.0000  0.7559 [4 per cell]  3 Cu 2.36-2.41, 2 Li 2.57

---

Record 25
SrCd6Hg2 | PBE | relaxed

Values from the calculation:
The offset from the most stable computed form is 0.00 eV/f.u. The formation energy comes out at -0.184 eV per atom.

Cell: 4.4951 4.4951 11.2065 Å, 90.00 90.00 90.00°
Last column: nearest neighbours and their distance in Å.
Space group P4/mmm (No. 123)
Inequivalent atoms, fractional coordinates:
Sr  0.0000  0.0000  0.0000 [1 per cell]  8 Hg 3.49
Cd  0.0000  0.0000  0.5000 [1 per cell]  12 Cd 3.16-3.18
Cd  0.0000  0.5000  0.3016 [4 per cell]  2 Hg 2.97, 8 Cd 3.16-3.18
Cd  0.5000  0.5000  0.5000 [1 per cell]  12 Cd 3.16-3.18
Hg  0.5000  0.5000  0.1285 [2 per cell]  1 Hg 2.88, 4 Cd 2.97